Record 1
Compound: CaPm2Ge
Source: Alexandria
Functional: PBE
Structure: optimized geometry

electronic total energy: -4.1910 eV per atom
crystal system: trigonal
energy of formation from the pure elements: -0.161 eV/atom

Cell lengths 4.0737, 4.0737, 32.4242 Å; angles 90.00, 90.00, 120.00 degrees
Space group R-3m (No. 166, hexagonal axes)
Symmetry-distinct sites (fractional):
Ca  0.0000  0.0000  0.0000 (multiplicity 3)
Pm  0.0000  0.0000  0.1151 (multiplicity 6)
Ge  0.0000  0.0000  0.5000 (multiplicity 3)



Record 2
Compound: GdCu4Sn
Source: Alexandria
Functional: PBE
Structure: optimized geometry

electronic total energy: -5.9510 eV per atom
crystal system: cubic
energy of formation from the pure elements: -0.206 eV/atom

Cell lengths 7.3235, 7.3235, 7.3235 Å; angles 90.00, 90.00, 90.00 degrees
Space group F-43m (No. 216)
Symmetry-distinct sites (fractional):
Gd  0.0000  0.0000  0.0000 (multiplicity 4)
Cu  0.1250  0.1250  0.3750 (multiplicity 16)
Sn  0.2500  0.2500  0.7500 (multiplicity 4)



Record 3
Compound: LaCd4Pd2
Source: Alexandria
Functional: PBE
Structure: optimized geometry

electronic total energy: -3.1732 eV per atom
crystal system: tetragonal
energy of formation from the pure elements: -0.463 eV/atom

Cell lengths 8.1098, 8.1098, 4.6965 Å; angles 90.00, 90.00, 90.00 degrees
Space group P4_2/mnm (No. 136)
Symmetry-distinct sites (fractional):
La  0.0000  0.0000  0.0000 (multiplicity 2)
Cd  0.0889  0.3421  0.5000 (multiplicity 8)
Pd  0.2381  0.7619  0.5000 (multiplicity 4)



Record 4
Compound: Er2TmSc2
Source: Alexandria
Functional: PBE
Structure: optimized geometry

electronic total energy: -5.1756 eV per atom
crystal system: tetragonal
energy of formation from the pure elements: 0.077 eV/atom

Cell lengths 8.9752, 8.9752, 3.5072 Å; angles 90.00, 90.00, 90.00 degrees
Space group P4/mbm (No. 127)
Symmetry-distinct sites (fractional):
Er  0.1751  0.3249  0.0000 (multiplicity 4)
Tm  0.0000  0.0000  0.5000 (multiplicity 2)
Sc  0.1213  0.6213  0.5000 (multiplicity 4)



Among the records above, which one has the lowest energy of formation from the pure elements? LaCd4Pd2